Density functional theory data (GGA-PBEsol) for a geometry-optimized Sr2Ca2Be structure.

DFT total energy	-7.93	eV/cell
spin magnetization	0.000	μB per atom
DOS(E_F)	6.4	states/eV/cell
SG	I4/mmm, No. 139
crystal system	tetragonal

a b c (Å): 10.210 10.210 10.210
angles (deg): 154.39 154.39 36.53
Positions (direct):
Sr 0.250 0.750 0.500
Sr 0.750 0.250 0.500
Ca 0.084 0.084 0.000
Ca 0.916 0.916 0.000
Be 0.500 0.500 0.000


Density functional theory data (GGA-PBEsol) for a geometry-optimized CoSi2O6 structure.

spin magnetization	0.113	μB per atom
uncorrected formation energy	-18.0	eV/f.u.
DOS(E_F)	10.3	states/eV/cell
SG	C2/c, No. 15
crystal system	monoclinic

a b c (Å): 6.250 6.250 5.245
angles (deg): 105.53 105.53 83.81
Positions (direct):
Co 0.084 0.916 0.750
Co 0.916 0.084 0.250
Si 0.209 0.393 0.745
Si 0.393 0.209 0.245
Si 0.607 0.791 0.755
Si 0.791 0.607 0.255
O 0.028 0.188 0.634
O 0.080 0.634 0.777
O 0.188 0.028 0.134
O 0.351 0.372 0.044
O 0.366 0.920 0.723
O 0.372 0.351 0.544
O 0.628 0.649 0.456
O 0.634 0.080 0.277
O 0.649 0.628 0.956
O 0.812 0.972 0.866
O 0.920 0.366 0.223
O 0.972 0.812 0.366


Density functional theory data (GGA-PBEsol) for a geometry-optimized La2CuIr structure.

DFT total energy	-25.98	eV/cell
spin magnetization	0.000	μB per atom
DOS(E_F)	2.9	states/eV/cell
SG	Imm2, No. 44
crystal system	orthorhombic

a b c (Å): 6.173 6.173 6.173
angles (deg): 145.32 138.24 55.37
Positions (direct):
La 0.000 0.000 0.000
La 0.713 0.213 0.500
Cu 0.425 0.425 0.000
Ir 0.260 0.760 0.500


Density functional theory data (GGA-PBEsol) for a geometry-optimized BWSe2 structure.

spin magnetization	0.000	μB per atom
uncorrected formation energy	3.0	eV/f.u.
DOS(E_F)	3.1	states/eV/cell
SG	R-3m, No. 166
crystal system	trigonal

a b c (Å): 7.709 7.709 7.709
angles (deg): 23.06 23.06 23.06
Positions (direct):
B 0.000 0.000 0.000
W 0.500 0.500 0.500
Se 0.391 0.391 0.391
Se 0.609 0.609 0.609


Density functional theory data (GGA-PBEsol) for a geometry-optimized ScCoO3 structure.

spin magnetization	0.000	μB per atom
uncorrected formation energy	-11.5	eV/f.u.
SG	Pnma, No. 62
crystal system	orthorhombic

a b c (Å): 5.285 7.086 4.858
angles (deg): 90.00 90.00 90.00
Positions (direct):
Sc 0.085 0.250 0.032
Sc 0.415 0.750 0.532
Sc 0.585 0.250 0.468
Sc 0.915 0.750 0.968
Co 0.000 0.000 0.500
Co 0.000 0.500 0.500
Co 0.500 0.000 0.000
Co 0.500 0.500 0.000
O 0.048 0.750 0.369
O 0.192 0.564 0.818
O 0.192 0.936 0.818
O 0.308 0.064 0.318
O 0.308 0.436 0.318
O 0.452 0.250 0.869
O 0.548 0.750 0.131
O 0.692 0.564 0.682
O 0.692 0.936 0.682
O 0.808 0.064 0.182
O 0.808 0.436 0.182
O 0.952 0.250 0.631


Density functional theory data (GGA-PBEsol) for a geometry-optimized ZrCdHg2 structure.

DFT total energy	-11.86	eV/cell
spin magnetization	0.000	μB per atom
DOS(E_F)	2.0	states/eV/cell
SG	C2/m, No. 12
crystal system	monoclinic

a b c (Å): 4.943 4.943 5.801
angles (deg): 98.52 98.52 36.97
Positions (direct):
Zr 0.000 0.000 0.000
Cd 0.500 0.500 0.500
Hg 0.250 0.250 0.751
Hg 0.750 0.750 0.249